Entry 1:
A crystal of CsTlBi3 relaxed with PBEsol. Source: Alexandria, functional meta-GGA SCAN.

As for the total DFT energy (no corrections): -67.95 eV per atom. The energy of formation from the pure elements is 1.236 eV/atom. As for the crystal system: cubic. The size of the total moment is 0.0 μB/cell.

It has space group Pm-3m (No. 221), with a = 6.222 Å, b = 6.222 Å, c = 6.222 Å, α = 90.00°, β = 90.00° and γ = 90.00°. Symmetry generates all atoms from Cs at (0.000, 0.000, 0.000), Tl at (0.500, 0.500, 0.500) and Bi at (0.000, 0.000, 0.500).

---

Entry 2:
A crystal of YTaIn2 relaxed with PBEsol. Source: Alexandria, functional meta-GGA SCAN.

As for the total DFT energy (no corrections): -40.17 eV per atom. The energy of formation from the pure elements is 0.133 eV/atom. As for the crystal system: orthorhombic. The size of the total moment is 0.0 μB/cell.

It has space group Pmmm (No. 47), with a = 3.308 Å, b = 5.116 Å, c = 5.274 Å, α = 90.00°, β = 90.00° and γ = 90.00°. Symmetry generates all atoms from Y at (0.000, 0.000, 0.000), Ta at (0.500, 0.000, 0.500), In at (0.000, 0.500, 0.500) and In at (0.500, 0.500, 0.000).

---

Entry 3:
A crystal of RbIrPb2 relaxed with PBEsol. Source: Alexandria, functional meta-GGA SCAN.

As for the total DFT energy (no corrections): -60.38 eV per atom. The energy of formation from the pure elements is 0.471 eV/atom. As for the crystal system: cubic. The size of the total moment is 0.0 μB/cell.

It has space group Fm-3m (No. 225), with a = 7.215 Å, b = 7.215 Å, c = 7.215 Å, α = 90.00°, β = 90.00° and γ = 90.00°. Symmetry generates all atoms from Rb at (0.000, 0.000, 0.000), Ir at (0.000, 0.000, 0.500) and Pb at (0.250, 0.250, 0.250).

---

Computed density, in the same sequence as the records: 6.65 9.29 12.24 g/cm3.